# 1
Entry from Alexandria: a relaxed Cu2AgAu3 crystal (PBE).

abc: 3.045 3.045 10.408
angles: 90.00 90.00 90.00
Element x y z (fractional)
Au  0.000  0.000  0.000
Au  0.000  0.000  0.690
Au  0.000  0.000  0.310
Ag  0.500  0.500  0.500
Cu  0.500  0.500  0.844
Cu  0.500  0.500  0.156

## Properties
The calculation puts the formation energy at -0.04 eV per atom. As for the space group: P4/mmm, No. 123.

***

# 2
Entry from Alexandria: a relaxed Cu6AgAu2 crystal (PBE).

abc: 3.928 8.023 8.027
angles: 90.00 90.00 90.00
Element x y z (fractional)
Cu  0.500  0.511  0.344
Cu  0.500  0.844  0.012
Cu  0.500  0.156  0.988
Cu  0.000  0.656  0.512
Cu  0.000  0.344  0.488
Cu  0.500  0.836  0.337
Cu  0.000  0.011  0.156
Cu  0.500  0.489  0.656
Cu  0.000  0.336  0.163
Cu  0.500  0.164  0.663
Cu  0.000  0.989  0.844
Cu  0.000  0.664  0.837
Au  0.000  0.321  0.820
Au  0.500  0.179  0.320
Au  0.500  0.821  0.680
Au  0.000  0.679  0.180
Ag  0.500  0.500  0.000
Ag  0.000  0.000  0.500

## Properties
The calculation puts the formation energy at 0.00 eV per atom. As for the space group: Pnnm, No. 58.

***

# 3
Entry from Alexandria: a relaxed CuAg2Au crystal (PBE).

abc: 9.305 9.305 9.305
angles: 17.96 17.96 17.96
Element x y z (fractional)
Ag  0.494  0.494  0.494
Ag  0.006  0.006  0.006
Au  0.250  0.250  0.250
Cu  0.750  0.750  0.750

## Properties
The calculation puts the formation energy at 0.09 eV per atom. As for the space group: R-3m, No. 166.

***

# 4
Entry from Alexandria: a relaxed Cu3AgAu5 crystal (PBE).

abc: 5.678 5.678 10.467
angles: 83.84 83.84 81.97
Element x y z (fractional)
Au  0.420  0.991  0.337
Au  0.681  0.319  0.000
Au  0.009  0.580  0.663
Au  0.723  0.723  0.122
Au  0.580  0.009  0.663
Au  0.519  0.519  0.678
Au  0.991  0.420  0.337
Au  0.481  0.481  0.322
Au  0.319  0.681  0.000
Au  0.277  0.277  0.878
Cu  0.746  0.746  0.870
Cu  0.254  0.254  0.130
Cu  0.000  0.000  0.500
Cu  0.282  0.282  0.528
Cu  0.718  0.718  0.472
Cu  0.000  0.000  0.000
Ag  0.960  0.960  0.262
Ag  0.040  0.040  0.738

## Properties
The calculation puts the formation energy at 0.19 eV per atom. As for the space group: C2/m, No. 12.

***

# 5
Entry from Alexandria: a relaxed CuAg2Au4 crystal (PBE).

abc: 2.859 4.812 9.501
angles: 104.67 90.00 90.00
Element x y z (fractional)
Cu  0.000  0.500  0.000
Ag  0.500  0.786  0.573
Ag  0.500  0.214  0.427
Au  0.500  0.626  0.252
Au  0.000  0.076  0.151
Au  0.000  0.924  0.849
Au  0.500  0.374  0.748

## Properties
The calculation puts the formation energy at 0.06 eV per atom. As for the space group: Cmmm, No. 65.

***

# 6
Entry from Alexandria: a relaxed CuAg2Au crystal (PBE).

abc: 2.867 2.867 8.077
angles: 90.00 90.00 91.10
Element x y z (fractional)
Ag  0.000  0.000  0.979
Ag  0.000  0.000  0.521
Cu  0.500  0.500  0.750
Au  0.500  0.500  0.250

## Properties
The calculation puts the formation energy at 0.04 eV per atom. As for the space group: Cmmm, No. 65.

***

# 7
Entry from Alexandria: a relaxed CuAg2Au crystal (PBE).

abc: 2.892 2.892 7.924
angles: 90.00 90.00 90.00
Element x y z (fractional)
Ag  0.000  0.000  0.979
Ag  0.500  0.500  0.249
Cu  0.500  0.500  0.748
Au  0.000  0.000  0.523

## Properties
The calculation puts the formation energy at 0.01 eV per atom. As for the space group: P4mm, No. 99.

***

# 8
Entry from Alexandria: a relaxed CuAgAu2 crystal (PBE).

abc: 5.362 5.362 5.352
angles: 145.25 129.65 62.80
Element x y z (fractional)
Ag  0.266  0.766  0.500
Au  0.998  0.998  0.000
Au  0.733  0.233  0.500
Cu  0.503  0.503  0.000

## Properties
The calculation puts the formation energy at 0.02 eV per atom. As for the space group: C2, No. 5.

***

# 9
Entry from Alexandria: a relaxed Cu3AgAu crystal (PBE).

abc: 4.359 5.343 6.781
angles: 90.00 108.75 90.00
Element x y z (fractional)
Ag  0.489  0.250  0.978
Ag  0.511  0.750  0.022
Au  0.875  0.750  0.750
Au  0.125  0.250  0.250
Cu  0.308  0.499  0.615
Cu  0.692  0.999  0.385
Cu  0.135  0.750  0.269
Cu  0.308  0.001  0.615
Cu  0.692  0.501  0.385
Cu  0.865  0.250  0.731

## Properties
The calculation puts the formation energy at 0.07 eV per atom. As for the space group: Cmcm, No. 63.

***

# 10
Entry from Alexandria: a relaxed Cu2AgAu crystal (PBE).

abc: 4.671 4.671 4.671
angles: 128.84 128.84 75.27
Element x y z (fractional)
Au  0.750  0.250  0.500
Cu  0.500  0.500  0.000
Cu  0.000  0.000  0.000
Ag  0.250  0.750  0.500

## Properties
The calculation puts the formation energy at 0.02 eV per atom. As for the space group: I4/mmm, No. 139.

***

# 11
Entry from Alexandria: a relaxed CuAg3Au4 crystal (PBE).

abc: 4.173 4.173 8.486
angles: 104.03 104.03 89.99
Element x y z (fractional)
Ag  0.000  0.500  0.000
Ag  0.750  0.250  0.500
Ag  0.250  0.750  0.500
Au  0.380  0.380  0.760
Au  0.120  0.120  0.240
Au  0.620  0.620  0.240
Au  0.880  0.880  0.760
Cu  0.500  0.000  0.000

## Properties
The calculation puts the formation energy at -0.03 eV per atom. As for the space group: C2/m, No. 12.

***

# 12
Entry from Alexandria: a relaxed Cu2AgAu crystal (PBE).

abc: 4.600 5.445 5.445
angles: 64.29 99.89 99.89
Element x y z (fractional)
Cu  0.273  0.132  0.641
Cu  0.727  0.868  0.359
Cu  0.273  0.641  0.132
Cu  0.727  0.359  0.868
Au  0.232  0.137  0.137
Au  0.768  0.863  0.863
Ag  0.768  0.369  0.369
Ag  0.232  0.631  0.631

## Properties
The calculation puts the formation energy at 0.02 eV per atom. As for the space group: C2/m, No. 12.

***

# 13
Entry from Alexandria: a relaxed CuAg6Au12 crystal (PBE).

abc: 7.748 7.748 7.748
angles: 110.82 110.82 110.82
Element x y z (fractional)
Ag  0.528  0.788  0.685
Ag  0.472  0.212  0.315
Ag  0.788  0.685  0.528
Ag  0.685  0.528  0.788
Ag  0.315  0.472  0.212
Ag  0.212  0.315  0.472
Au  0.256  0.895  0.845
Au  0.366  0.050  0.577
Au  0.895  0.845  0.256
Au  0.845  0.256  0.895
Au  0.423  0.634  0.950
Au  0.105  0.155  0.744
Au  0.155  0.744  0.105
Au  0.950  0.423  0.634
Au  0.050  0.577  0.366
Au  0.634  0.950  0.423
Au  0.577  0.366  0.050
Au  0.744  0.105  0.155
Cu  0.000  0.000  0.000

## Properties
The calculation puts the formation energy at -0.02 eV per atom. As for the space group: R-3, No. 148.

***

# 14
Entry from Alexandria: a relaxed CuAg6Au12 crystal (PBE).

abc: 7.036 7.036 7.036
angles: 91.23 91.23 91.23
Element x y z (fractional)
Ag  0.262  0.730  0.887
Ag  0.887  0.262  0.730
Ag  0.730  0.887  0.262
Ag  0.738  0.270  0.113
Ag  0.270  0.113  0.738
Ag  0.113  0.738  0.270
Au  0.800  0.528  0.444
Au  0.854  0.633  0.957
Au  0.146  0.367  0.043
Au  0.957  0.854  0.633
Au  0.556  0.200  0.472
Au  0.633  0.957  0.854
Au  0.472  0.556  0.200
Au  0.444  0.800  0.528
Au  0.200  0.472  0.556
Au  0.528  0.444  0.800
Au  0.367  0.043  0.146
Au  0.043  0.146  0.367
Cu  0.000  0.000  0.000

## Properties
The calculation puts the formation energy at 0.03 eV per atom. As for the space group: R-3, No. 148.

***

# 15
Entry from Alexandria: a relaxed Cu3AgAu crystal (PBE).

abc: 4.674 4.674 4.674
angles: 90.00 90.00 90.00
Element x y z (fractional)
Au  0.500  0.500  0.500
Ag  0.000  0.000  0.000
Cu  0.000  0.500  0.000
Cu  0.000  0.000  0.500
Cu  0.500  0.000  0.000

## Properties
The calculation puts the formation energy at 1.00 eV per atom. As for the space group: Pm-3m, No. 221.

***

# 16
Entry from Alexandria: a relaxed Cu2AgAu crystal (PBE).

abc: 4.438 4.438 4.421
angles: 59.87 59.87 60.00
Element x y z (fractional)
Cu  0.250  0.250  0.251
Cu  0.001  0.001  0.998
Ag  0.750  0.750  0.749
Au  0.500  0.500  0.501

## Properties
The calculation puts the formation energy at 0.09 eV per atom. As for the space group: R3m, No. 160.

***

# 17
Entry from Alexandria: a relaxed CuAgAu2 crystal (PBE).

abc: 9.126 9.126 9.126
angles: 18.56 18.56 18.56
Element x y z (fractional)
Au  0.244  0.244  0.244
Au  0.000  0.000  0.000
Cu  0.500  0.500  0.500
Ag  0.756  0.756  0.756

## Properties
The calculation puts the formation energy at 0.06 eV per atom. As for the space group: R3m, No. 160.

***

# 18
Entry from Alexandria: a relaxed CuAgAu2 crystal (PBE).

abc: 5.004 5.004 4.968
angles: 76.37 76.37 33.79
Element x y z (fractional)
Au  0.514  0.514  0.490
Au  0.986  0.986  0.010
Cu  0.250  0.250  0.250
Ag  0.750  0.750  0.750

## Properties
The calculation puts the formation energy at 0.01 eV per atom. As for the space group: C2/m, No. 12.

***

# 19
Entry from Alexandria: a relaxed Cu2AgAu crystal (PBE).

abc: 8.658 8.658 8.658
angles: 19.22 19.22 19.22
Element x y z (fractional)
Au  0.750  0.750  0.750
Ag  0.250  0.250  0.250
Cu  0.500  0.500  0.500
Cu  0.000  0.000  0.000

## Properties
The calculation puts the formation energy at 0.10 eV per atom. As for the space group: R-3m, No. 166.

***

# 20
Entry from Alexandria: a relaxed Cu3AgAu3 crystal (PBE).

abc: 5.591 5.591 7.493
angles: 90.00 90.00 95.28
Element x y z (fractional)
Au  0.000  0.000  0.729
Au  0.500  0.000  0.742
Au  0.000  0.500  0.742
Au  0.500  0.000  0.258
Au  0.000  0.500  0.258
Au  0.000  0.000  0.271
Ag  0.305  0.305  0.000
Ag  0.695  0.695  0.000
Cu  0.712  0.712  0.500
Cu  0.288  0.288  0.500
Cu  0.258  0.742  0.500
Cu  0.219  0.781  0.000
Cu  0.742  0.258  0.500
Cu  0.781  0.219  0.000

## Properties
The calculation puts the formation energy at 0.07 eV per atom. As for the space group: Cmmm, No. 65.

***

# 21
Entry from Alexandria: a relaxed CuAgAu2 crystal (PBE).

abc: 3.926 4.119 4.119
angles: 90.00 90.00 90.00
Element x y z (fractional)
Au  0.000  0.000  0.000
Au  0.000  0.500  0.500
Ag  0.500  0.000  0.500
Cu  0.500  0.500  0.000

## Properties
The calculation puts the formation energy at -0.01 eV per atom. As for the space group: P4/mmm, No. 123.

***

# 22
Entry from Alexandria: a relaxed Cu2AgAu crystal (PBE).

abc: 5.890 5.890 5.890
angles: 153.44 55.59 132.11
Element x y z (fractional)
Cu  0.252  0.000  0.252
Cu  0.748  0.000  0.748
Au  0.500  0.000  0.500
Ag  0.000  0.000  0.000

## Properties
The calculation puts the formation energy at 0.31 eV per atom. As for the space group: Immm, No. 71.

***

# 23
Entry from Alexandria: a relaxed Cu4Ag2Au5 crystal (PBE).

abc: 4.128 9.508 4.983
angles: 79.62 114.06 90.08
Element x y z (fractional)
Cu  0.694  0.727  0.388
Cu  0.051  0.176  0.103
Cu  0.949  0.824  0.897
Cu  0.306  0.273  0.612
Au  0.500  0.000  0.000
Au  0.781  0.098  0.563
Au  0.219  0.902  0.437
Au  0.861  0.442  0.721
Au  0.139  0.558  0.279
Ag  0.578  0.356  0.158
Ag  0.422  0.644  0.842

## Properties
The calculation puts the formation energy at 0.00 eV per atom. As for the space group: P-1, No. 2.

***

# 24
Entry from Alexandria: a relaxed CuAg2Au5 crystal (PBE).

abc: 4.155 4.155 8.583
angles: 104.01 104.01 90.00
Element x y z (fractional)
Au  0.121  0.621  0.242
Au  0.500  0.500  0.000
Au  0.879  0.379  0.758
Au  0.379  0.879  0.758
Au  0.621  0.121  0.242
Ag  0.750  0.750  0.499
Ag  0.250  0.250  0.501
Cu  0.000  0.000  0.000

## Properties
The calculation puts the formation energy at -0.03 eV per atom. As for the space group: I4/mmm, No. 139.

***

Ordered raw total energy results: -3.522, -3.778, -3.180, -3.309, -3.214, -3.230, -3.256, -3.356, -3.611, -3.562, -3.246, -3.556, -3.205, -3.160, -2.683, -3.488, -3.313, -3.362, -3.477, -3.498, -3.386, -3.270, -3.496, -3.298; unit eV per atom.